Record 1
First-principles (GGA-PBE) data for an optimized crystal structure of Pr2TlIn, as listed in Alexandria via LeMat-Bulk.

Output
The calculation puts the formation enthalpy at 0 K at -445.8 meV/atom. As for the density of states at the Fermi level: 0.815 states/eV/atom. Its symmetry is P4/mmm, No. 123.

Cell and atoms, written as POSCAR:
```
Pr2TlIn
1.0
3.9102 0.0000 0.0000
0.0000 3.9102 0.0000
0.0000 0.0000 7.8829
Pr Tl In
2 1 1
direct
0.0000 0.0000 0.2476 Pr
0.0000 0.0000 0.7524 Pr
0.5000 0.5000 0.5000 Tl
0.5000 0.5000 0.0000 In
```



Record 2
First-principles (GGA-PBE) data for an optimized crystal structure of SbH2O2, as listed in Alexandria via LeMat-Bulk.

Output
As for the density of states at the Fermi level: 0.239 states/eV/atom. The calculation puts the relative energy among the computed polymorphs at 0.000 eV/f.u. Its symmetry is C2/m, No. 12.

Cell and atoms, written as POSCAR:
```
SbH2O2
1.0
6.9447 0.0000 0.0000
0.0000 3.9918 0.0000
-2.3769 0.0000 4.6758
Sb H O
2 4 4
direct
0.0000 0.0000 0.0000 Sb
0.5000 0.5000 0.0000 Sb
0.2006 0.0000 0.6092 H
0.2994 0.5000 0.3908 H
0.7006 0.5000 0.6092 H
0.7994 0.0000 0.3908 H
0.2283 0.5000 0.1803 O
0.2717 0.0000 0.8197 O
0.7283 0.0000 0.1803 O
0.7717 0.5000 0.8197 O
```



Record 3
First-principles (GGA-PBE) data for an optimized crystal structure of Th5Pd2, as listed in Alexandria via LeMat-Bulk.

Output
The calculation puts the formation enthalpy at 0 K at -372.8 meV/atom. As for the density of states at the Fermi level: 1.305 states/eV/atom. Its symmetry is C2/c, No. 15.

Cell and atoms, written as POSCAR:
```
Th5Pd2
1.0
8.5879 -3.2285 0.0000
8.5879 3.2285 0.0000
-0.8481 0.0000 7.2648
Th Pd
10 4
direct
0.0979 0.3423 0.3026 Th
0.1163 0.8837 0.7500 Th
0.3089 0.4996 0.0776 Th
0.3423 0.0979 0.8026 Th
0.4996 0.3089 0.5776 Th
0.5004 0.6911 0.4224 Th
0.6577 0.9021 0.1974 Th
0.6911 0.5004 0.9224 Th
0.8837 0.1163 0.2500 Th
0.9021 0.6577 0.6974 Th
0.0519 0.7362 0.4169 Pd
0.2638 0.9481 0.0831 Pd
0.7362 0.0519 0.9169 Pd
0.9481 0.2638 0.5831 Pd
```



Record 4
First-principles (GGA-PBE) data for an optimized crystal structure of ZrVAs, as listed in Alexandria via LeMat-Bulk.

Output
The calculation puts the formation enthalpy at 0 K at -558.9 meV/atom. As for the density of states at the Fermi level: 0.963 states/eV/atom. Its symmetry is C2/m, No. 12.

Cell and atoms, written as POSCAR:
```
ZrVAs
1.0
9.8716 0.0000 0.0000
0.0000 3.4160 0.0000
-2.5127 0.0000 6.5538
Zr V As
4 4 4
direct
0.1127 0.0000 0.2732 Zr
0.3873 0.5000 0.7268 Zr
0.6127 0.5000 0.2732 Zr
0.8873 0.0000 0.7268 Zr
0.1414 0.5000 0.9453 V
0.3586 0.0000 0.0547 V
0.6414 0.0000 0.9453 V
0.8586 0.5000 0.0547 V
0.1586 0.0000 0.6927 As
0.3414 0.5000 0.3073 As
0.6586 0.5000 0.6927 As
0.8414 0.0000 0.3073 As
```



Record 5
First-principles (GGA-PBE) data for an optimized crystal structure of Li3Sb2Au7, as listed in Alexandria via LeMat-Bulk.

Output
As for the density of states at the Fermi level: 0.258 states/eV/atom. The calculation puts the relative energy among the computed polymorphs at 0.000 eV/f.u. Its symmetry is C2/m, No. 12.

Cell and atoms, written as POSCAR:
```
Li3Sb2Au7
1.0
4.1216 -2.9800 0.0000
4.1216 2.9800 0.0000
-4.1094 0.0000 8.8914
Li Sb Au
3 2 7
direct
0.0000 0.0000 0.0000 Li
0.3398 0.3398 0.6792 Li
0.6602 0.6602 0.3208 Li
0.1666 0.1666 0.3310 Sb
0.8334 0.8334 0.6690 Sb
0.0800 0.5807 0.1609 Au
0.2497 0.7503 0.5000 Au
0.4193 0.9200 0.8391 Au
0.5000 0.5000 0.0000 Au
0.5807 0.0800 0.1609 Au
0.7503 0.2497 0.5000 Au
0.9200 0.4193 0.8391 Au
```



Record 6
First-principles (GGA-PBE) data for an optimized crystal structure of In3BH, as listed in Alexandria via LeMat-Bulk.

Output
As for the density of states at the Fermi level: 0.336 states/eV/atom. The calculation puts the relative energy among the computed polymorphs at 0.000 eV/f.u. Its symmetry is Pm-3m, No. 221.

Cell and atoms, written as POSCAR:
```
In3BH
1.0
4.8445 0.0000 0.0000
0.0000 4.8445 0.0000
0.0000 0.0000 4.8445
In B H
3 1 1
direct
0.0000 0.0000 0.5000 In
0.0000 0.5000 0.0000 In
0.5000 0.0000 0.0000 In
0.0000 0.0000 0.0000 B
0.5000 0.5000 0.5000 H
```



Record 7
First-principles (GGA-PBE) data for an optimized crystal structure of TlAgSn, as listed in Alexandria via LeMat-Bulk.

Output
The calculation puts the formation enthalpy at 0 K at 45.0 meV/atom. As for the density of states at the Fermi level: 0.374 states/eV/atom. The calculation puts the relative energy among the computed polymorphs at 0.040 eV/f.u. Its symmetry is P-1, No. 2.

Cell and atoms, written as POSCAR:
```
TlAgSn
1.0
4.5194 0.0000 0.0000
2.2592 5.0307 0.0000
2.2231 0.6645 6.8611
Tl Ag Sn
2 2 2
direct
0.0910 0.1843 0.1331 Tl
0.9090 0.8157 0.8669 Tl
0.3582 0.5890 0.1903 Ag
0.6418 0.4110 0.8097 Ag
0.3245 0.2803 0.5711 Sn
0.6755 0.7197 0.4289 Sn
```



Record 8
First-principles (GGA-PBE) data for an optimized crystal structure of Nd4SmCo, as listed in Alexandria via LeMat-Bulk.

Output
The calculation puts the formation enthalpy at 0 K at 345.0 meV/atom. As for the density of states at the Fermi level: 1.262 states/eV/atom. The calculation puts the relative energy among the computed polymorphs at 1.944 eV/f.u. Its symmetry is P4/mmm, No. 123.

Cell and atoms, written as POSCAR:
```
Nd4SmCo
1.0
4.8106 0.0000 0.0000
0.0000 4.8106 0.0000
0.0000 0.0000 8.9753
Nd Sm Co
4 1 1
direct
0.0000 0.5000 0.1854 Nd
0.0000 0.5000 0.8146 Nd
0.5000 0.0000 0.1854 Nd
0.5000 0.0000 0.8146 Nd
0.0000 0.0000 0.5000 Sm
0.5000 0.5000 0.0000 Co
```



What did the fourth record say?
First-principles (GGA-PBE) data for an optimized crystal structure of ZrVAs, as listed in Alexandria via LeMat-Bulk.

Output
The calculation puts the formation enthalpy at 0 K at -558.9 meV/atom. As for the density of states at the Fermi level: 0.963 states/eV/atom. Its symmetry is C2/m, No. 12.

Cell and atoms, written as POSCAR:
```
ZrVAs
1.0
9.8716 0.0000 0.0000
0.0000 3.4160 0.0000
-2.5127 0.0000 6.5538
Zr V As
4 4 4
direct
0.1127 0.0000 0.2732 Zr
0.3873 0.5000 0.7268 Zr
0.6127 0.5000 0.2732 Zr
0.8873 0.0000 0.7268 Zr
0.1414 0.5000 0.9453 V
0.3586 0.0000 0.0547 V
0.6414 0.0000 0.9453 V
0.8586 0.5000 0.0547 V
0.1586 0.0000 0.6927 As
0.3414 0.5000 0.3073 As
0.6586 0.5000 0.6927 As
0.8414 0.0000 0.3073 As
```



Please write out number 1 again, unchanged.
First-principles (GGA-PBE) data for an optimized crystal structure of Pr2TlIn, as listed in Alexandria via LeMat-Bulk.

Output
The calculation puts the formation enthalpy at 0 K at -445.8 meV/atom. As for the density of states at the Fermi level: 0.815 states/eV/atom. Its symmetry is P4/mmm, No. 123.

Cell and atoms, written as POSCAR:
```
Pr2TlIn
1.0
3.9102 0.0000 0.0000
0.0000 3.9102 0.0000
0.0000 0.0000 7.8829
Pr Tl In
2 1 1
direct
0.0000 0.0000 0.2476 Pr
0.0000 0.0000 0.7524 Pr
0.5000 0.5000 0.5000 Tl
0.5000 0.5000 0.0000 In
```